(1)
ScGaAs2Se | Alexandria via LeMat-Bulk | PBE-GGA | optimized geometry; formation energy without anion corrections = -0.012 eV/atom; distance to the lowest polymorph of the same formula = 0 meV/atom
1.0
5.148 0.000 0.000
0.000 5.148 0.000
0.000 0.000 5.176
As Ga Se Sc
2 1 1 1
Direct
0.000 0.500 0.000
0.500 0.000 0.000
0.500 0.500 0.500
0.000 0.000 0.500
0.000 0.000 0.000



(2)
ScGaAs2Se | Alexandria via LeMat-Bulk | PBE-GGA | optimized geometry; formation energy without anion corrections = 0.171 eV/atom; distance to the lowest polymorph of the same formula = 183 meV/atom
1.0
4.835 0.000 0.000
0.000 4.835 0.000
0.000 0.000 5.029
As Sc Ga Se
2 1 1 1
Direct
0.500 0.000 0.000
0.000 0.500 0.000
0.500 0.500 0.500
0.000 0.000 0.000
0.000 0.000 0.500



(3)
ScGa2SnAs | Alexandria via LeMat-Bulk | PBE-GGA | optimized geometry; DFT formation energy = 3.343 eV per formula unit
1.0
-2.145 -2.339 4.091
-1.744 -4.108 -3.263
4.420 -2.556 0.856
As Ga Sc Sn
1 2 1 1
Direct
0.500 0.500 0.500
0.500 0.000 0.000
0.000 0.000 0.500
0.000 0.000 0.000
0.000 0.500 0.000



(4)
ScTa2GaAs | Alexandria via LeMat-Bulk | PBE-GGA | optimized geometry; DFT formation energy = 7.577 eV per formula unit
1.0
-2.658 3.977 -1.057
-3.741 -2.823 -1.213
-1.613 0.151 4.623
Ta As Ga Sc
2 1 1 1
Direct
0.000 0.000 0.500
0.500 0.000 0.000
0.000 0.500 0.000
0.500 0.500 0.500
0.000 0.000 0.000



(5)
ScGaTeAs2 | Alexandria via LeMat-Bulk | PBE-GGA | optimized geometry; formation energy without anion corrections = 0.657 eV/atom
1.0
5.365 0.000 0.000
0.000 5.117 0.000
0.000 0.000 5.365
As Ga Sc Te
2 1 1 1
Direct
0.000 0.000 0.500
0.500 0.000 0.000
0.000 0.500 0.000
0.500 0.500 0.500
0.000 0.000 0.000



(6)
Sc4GaTe2As | Alexandria via LeMat-Bulk | PBE-GGA | optimized geometry; formation energy without anion corrections = -1.060 eV/atom
1.0
3.952 0.000 0.000
0.000 7.003 0.159
0.000 -2.412 6.680
Te As Ga Sc
2 1 1 4
Direct
0.000 0.500 0.500
0.500 0.000 0.500
0.000 0.000 0.000
0.500 0.500 0.000
0.000 0.258 0.775
0.500 0.759 0.783
0.500 0.241 0.217
0.000 0.742 0.225



| no. | final energy (eV/atom) |
| --- | --- |
| 1 | -4.441 |
| 2 | -4.258 |
| 3 | -3.539 |
| 4 | -6.027 |
| 5 | -3.703 |
| 6 | -5.971 |